1.
A plane-wave DFT calculation with PBE was carried out for a relaxed structure of Rb3La2TmO6.

Output
Symmetry: C2/m, No. 12

a b c (Å): 6.324 6.324 6.909
angles (deg): 98.74 98.74 120.03
Fractional positions:
Rb  0.000  0.000  0.000
Rb  0.336  0.664  0.000
Rb  0.664  0.336  0.000
La  0.167  0.833  0.500
La  0.833  0.167  0.500
Tm  0.500  0.500  0.500
O  0.125  0.441  0.322
O  0.244  0.244  0.678
O  0.441  0.125  0.322
O  0.559  0.875  0.678
O  0.756  0.756  0.322
O  0.875  0.559  0.678

2.
A plane-wave DFT calculation with PBE was carried out for a relaxed structure of Ba2ZrTe5Au.

Output
Symmetry: Cmc2_1, No. 36

a b c (Å): 10.515 10.515 13.746
angles (deg): 90.00 90.00 156.00
Fractional positions:
Ba  0.119  0.881  0.500
Ba  0.124  0.876  0.870
Ba  0.876  0.124  0.370
Ba  0.881  0.119  0.000
Zr  0.186  0.814  0.192
Zr  0.814  0.186  0.692
Te  0.045  0.955  0.223
Te  0.297  0.703  0.545
Te  0.298  0.702  0.837
Te  0.332  0.668  0.186
Te  0.498  0.502  0.438
Te  0.502  0.498  0.938
Te  0.668  0.332  0.686
Te  0.702  0.298  0.337
Te  0.703  0.297  0.045
Te  0.955  0.045  0.723
Au  0.425  0.575  0.609
Au  0.575  0.425  0.109

Number 1: raw formation energy -2.6469 eV per atom. Number 2: raw formation energy -1.0560 eV per atom.